Record 1
{"formula": "Pt2WSe", "functional": "PBE", "state": "relaxed", "n_ef_per_ev_cell": 3.57, "dft_energy_ev_per_cell": -28.654, "spacegroup": "No. 123", "density_g_cm3": 16.00, "formation_energy_uncorrected_mev_per_atom": -34, "lattice": [[2.829, -0.004, 0.000], [0.002, 2.829, 0.000], [0.000, 0.000, 8.465]], "species": ["Pt", "Pt", "Se", "W"], "frac_coords": [[0.000, 0.000, 0.971], [0.000, 0.000, 0.529], [0.500, 0.500, 0.250], [0.500, 0.500, 0.750]]}


Record 2
{"formula": "NdSi2MoOs", "functional": "PBE", "state": "relaxed", "n_ef_per_ev_cell": 4.53, "dft_energy_ev_per_cell": -40.243, "spacegroup": "No. 119", "density_g_cm3": 8.97, "formation_energy_uncorrected_mev_per_atom": -514, "lattice": [[4.144, 0.000, 0.000], [0.000, 4.144, 0.000], [-2.072, -2.072, 5.248]], "species": ["Nd", "Si", "Si", "Mo", "Os"], "frac_coords": [[0.000, 0.000, 0.000], [0.621, 0.621, 0.242], [0.379, 0.379, 0.758], [0.250, 0.750, 0.500], [0.750, 0.250, 0.500]]}


Record 3
{"formula": "LaTb2NdSm2", "functional": "PBE", "state": "relaxed", "n_ef_per_ev_cell": 21.95, "dft_energy_ev_per_cell": -53.698, "spacegroup": "No. 58", "density_g_cm3": 7.19, "lattice": [[3.432, 0.000, 0.000], [0.000, 6.656, 0.000], [0.000, 0.000, 18.231]], "species": ["La", "La", "Tb", "Tb", "Tb", "Tb", "Nd", "Nd", "Sm", "Sm", "Sm", "Sm"], "frac_coords": [[0.000, 0.000, 0.000], [0.500, 0.500, 0.500], [0.500, 0.782, 0.351], [0.500, 0.218, 0.649], [0.000, 0.718, 0.851], [0.000, 0.282, 0.149], [0.500, 0.500, 0.000], [0.000, 0.000, 0.500], [0.500, 0.279, 0.313], [0.000, 0.779, 0.187], [0.500, 0.721, 0.687], [0.000, 0.221, 0.813]]}


Record 4
{"formula": "LaZrSbBr2", "functional": "PBE", "state": "relaxed", "n_ef_per_ev_cell": 3.21, "dft_energy_ev_per_cell": -21.893, "spacegroup": "No. 123", "density_g_cm3": 4.19, "formation_energy_uncorrected_mev_per_atom": -190, "lattice": [[-0.864, 0.586, 5.468], [1.209, -6.372, 0.874], [5.402, 1.126, 0.732]], "species": ["Sb", "Br", "Br", "Zr", "La"], "frac_coords": [[0.000, 0.500, 0.000], [0.000, 0.000, 0.500], [0.500, 0.000, 0.000], [0.500, 0.500, 0.500], [0.000, 0.000, 0.000]]}


Record 5
{"formula": "LaTcTe2", "functional": "PBE", "state": "relaxed", "n_ef_per_ev_cell": 3.44, "dft_energy_ev_per_cell": -21.777, "spacegroup": "No. 166", "density_g_cm3": 7.52, "formation_energy_uncorrected_mev_per_atom": -50, "e_above_lowest_polymorph_mev_per_atom": 744, "lattice": [[-3.448, 0.564, 9.702], [-2.378, -2.792, 9.638], [-0.067, -0.220, 10.310]], "species": ["Te", "Te", "Tc", "La"], "frac_coords": [[0.893, 0.893, 0.893], [0.107, 0.107, 0.107], [0.500, 0.500, 0.500], [0.000, 0.000, 0.000]]}


Record 6
{"formula": "NaMg2Hg", "functional": "PBE", "state": "relaxed", "n_ef_per_ev_cell": 2.90, "dft_energy_ev_per_cell": -10.614, "spacegroup": "No. 63", "density_g_cm3": 4.40, "lattice": [[4.578, 0.000, 0.000], [-2.289, 5.380, 0.000], [0.000, 0.000, 8.337]], "species": ["Na", "Na", "Mg", "Mg", "Mg", "Mg", "Hg", "Hg"], "frac_coords": [[0.062, 0.124, 0.750], [0.938, 0.876, 0.250], [0.352, 0.705, 0.943], [0.648, 0.295, 0.057], [0.648, 0.295, 0.443], [0.352, 0.705, 0.557], [0.773, 0.547, 0.750], [0.227, 0.453, 0.250]]}


Record 7
{"formula": "CsYNF2", "functional": "PBE", "state": "relaxed", "n_ef_per_ev_cell": 2.11, "dft_energy_ev_per_cell": -30.259, "spacegroup": "No. 123", "density_g_cm3": 4.71, "formation_energy_uncorrected_mev_per_atom": -2175, "lattice": [[4.636, 0.000, 0.000], [0.000, 4.636, 0.000], [0.000, 0.000, 4.489]], "species": ["Cs", "Y", "N", "F", "F"], "frac_coords": [[0.500, 0.500, 0.500], [0.000, 0.000, 0.000], [0.000, 0.000, 0.500], [0.000, 0.500, 0.000], [0.500, 0.000, 0.000]]}


Record 8
{"formula": "TaCI2O", "functional": "PBE", "state": "relaxed", "n_ef_per_ev_cell": 3.74, "dft_energy_ev_per_cell": -25.842, "spacegroup": "No. 123", "density_g_cm3": 6.36, "formation_energy_uncorrected_mev_per_atom": 659, "e_above_lowest_polymorph_mev_per_atom": 0, "lattice": [[-0.466, -4.903, -2.622], [4.636, -1.795, 2.532], [-2.136, -1.369, 2.941]], "species": ["I", "I", "C", "O", "Ta"], "frac_coords": [[0.000, 0.500, 0.000], [0.500, 0.000, 0.000], [0.500, 0.500, 0.500], [0.000, 0.000, 0.500], [0.000, 0.000, 0.000]]}


Record 9
{"formula": "CePa6N12", "functional": "PBE", "state": "relaxed", "n_ef_per_ev_cell": 17.87, "dft_energy_ev_per_cell": -192.104, "spacegroup": "No. 148", "density_g_cm3": 9.96, "formation_energy_uncorrected_mev_per_atom": -1542, "lattice": [[-1.639, 4.366, 4.776], [-2.509, -5.588, 2.653], [6.465, -0.867, 1.417]], "species": ["Ce", "Pa", "Pa", "Pa", "Pa", "Pa", "Pa", "N", "N", "N", "N", "N", "N", "N", "N", "N", "N", "N", "N"], "frac_coords": [[0.000, 0.000, 0.000], [0.136, 0.296, 0.598], [0.704, 0.402, 0.864], [0.402, 0.864, 0.704], [0.864, 0.704, 0.402], [0.296, 0.598, 0.136], [0.598, 0.136, 0.296], [0.436, 0.177, 0.589], [0.177, 0.589, 0.436], [0.589, 0.436, 0.177], [0.564, 0.823, 0.411], [0.823, 0.411, 0.564], [0.411, 0.564, 0.823], [0.079, 0.939, 0.673], [0.327, 0.921, 0.061], [0.061, 0.327, 0.921], [0.921, 0.061, 0.327], [0.673, 0.079, 0.939], [0.939, 0.673, 0.079]]}


Record 10
{"formula": "K4Rb3Au3", "functional": "PBE", "state": "relaxed", "n_ef_per_ev_cell": 14.70, "dft_energy_ev_per_cell": -37.877, "spacegroup": "No. 220", "density_g_cm3": 3.57, "lattice": [[10.052, 0.000, -3.554], [-5.026, 8.705, -3.554], [0.000, 0.000, 10.661]], "species": ["K", "K", "K", "K", "K", "K", "K", "K", "Rb", "Rb", "Rb", "Rb", "Rb", "Rb", "Au", "Au", "Au", "Au", "Au", "Au"], "frac_coords": [[0.000, 0.000, 0.347], [0.500, 0.347, 0.500], [0.653, 0.153, 0.153], [0.000, 0.000, 0.847], [0.847, 0.500, 0.000], [0.500, 0.847, 0.500], [0.347, 0.500, 0.000], [0.153, 0.653, 0.653], [0.625, 0.750, 0.875], [0.875, 0.250, 0.625], [0.125, 0.375, 0.250], [0.375, 0.125, 0.750], [0.250, 0.875, 0.125], [0.750, 0.625, 0.375], [0.125, 0.750, 0.375], [0.375, 0.250, 0.125], [0.625, 0.875, 0.250], [0.875, 0.625, 0.750], [0.250, 0.375, 0.625], [0.750, 0.125, 0.875]]}


Record 11
{"formula": "CaPuBO5", "functional": "PBE", "state": "relaxed", "n_ef_per_ev_cell": 14.21, "dft_energy_ev_per_cell": -138.651, "spacegroup": "No. 15", "density_g_cm3": 6.15, "formation_energy_uncorrected_mev_per_atom": -2690, "lattice": [[5.482, 0.042, -0.014], [-1.560, 5.256, -0.014], [-1.644, -2.220, 7.025]], "species": ["Ca", "Ca", "Pu", "Pu", "B", "B", "O", "O", "O", "O", "O", "O", "O", "O", "O", "O"], "frac_coords": [[0.352, 0.648, 0.250], [0.648, 0.352, 0.750], [0.000, 0.000, 0.500], [0.000, 0.000, 0.000], [0.685, 0.315, 0.250], [0.315, 0.685, 0.750], [0.096, 0.904, 0.250], [0.904, 0.096, 0.750], [0.890, 0.322, 0.145], [0.110, 0.678, 0.855], [0.678, 0.110, 0.355], [0.322, 0.890, 0.645], [0.743, 0.582, 0.391], [0.257, 0.418, 0.609], [0.418, 0.257, 0.109], [0.582, 0.743, 0.891]]}


Record 12
{"formula": "BeNbBr3", "functional": "PBE", "state": "relaxed", "n_ef_per_ev_cell": 4.45, "dft_energy_ev_per_cell": -17.062, "spacegroup": "No. 221", "density_g_cm3": 5.04, "formation_energy_uncorrected_mev_per_atom": 351, "lattice": [[-1.084, 4.693, 0.345], [-2.837, -0.370, -3.890], [-3.754, -1.076, 2.840]], "species": ["Be", "Nb", "Br", "Br", "Br"], "frac_coords": [[0.000, 0.000, 0.000], [0.500, 0.500, 0.500], [0.000, 0.500, 0.000], [0.000, 0.000, 0.500], [0.500, 0.000, 0.000]]}


Record 13
{"formula": "TePt2Au2", "functional": "PBE", "state": "relaxed", "n_ef_per_ev_cell": 4.25, "dft_energy_ev_per_cell": -41.601, "spacegroup": "No. 127", "density_g_cm3": 15.83, "formation_energy_uncorrected_mev_per_atom": 195, "e_above_lowest_polymorph_mev_per_atom": 121, "lattice": [[7.825, 0.000, 0.000], [0.000, 7.825, 0.000], [0.000, 0.000, 3.123]], "species": ["Te", "Te", "Au", "Au", "Au", "Au", "Pt", "Pt", "Pt", "Pt"], "frac_coords": [[0.000, 0.000, 0.000], [0.500, 0.500, 0.000], [0.347, 0.847, 0.000], [0.847, 0.653, 0.000], [0.653, 0.153, 0.000], [0.153, 0.347, 0.000], [0.142, 0.642, 0.500], [0.642, 0.858, 0.500], [0.858, 0.358, 0.500], [0.358, 0.142, 0.500]]}


Record 14
{"formula": "InSi4Ni", "functional": "PBE", "state": "relaxed", "n_ef_per_ev_cell": 2.93, "dft_energy_ev_per_cell": -26.958, "spacegroup": "No. 216", "density_g_cm3": 4.93, "formation_energy_uncorrected_mev_per_atom": 542, "lattice": [[3.013, 0.263, 4.164], [0.781, 4.522, 2.330], [-2.073, 0.904, 4.623]], "species": ["In", "Si", "Si", "Si", "Si", "Ni"], "frac_coords": [[0.750, 0.750, 0.750], [0.877, 0.374, 0.374], [0.374, 0.374, 0.877], [0.374, 0.877, 0.374], [0.374, 0.374, 0.374], [0.000, 0.000, 0.000]]}


Record 15
{"formula": "Rb2In4HgBi3", "functional": "PBE", "state": "relaxed", "n_ef_per_ev_cell": 4.42, "dft_energy_ev_per_cell": -26.572, "spacegroup": "No. 115", "density_g_cm3": 6.56, "lattice": [[-1.267, -5.117, -0.196], [5.044, -1.282, 0.863], [-2.224, 0.051, 13.078]], "species": ["Rb", "Rb", "In", "In", "In", "In", "Hg", "Bi", "Bi", "Bi"], "frac_coords": [[0.500, 0.000, 0.256], [0.000, 0.500, 0.744], [0.500, 0.500, 0.000], [0.000, 0.000, 0.000], [0.500, 0.000, 0.624], [0.000, 0.500, 0.376], [0.500, 0.500, 0.500], [0.000, 0.000, 0.500], [0.500, 0.000, 0.869], [0.000, 0.500, 0.131]]}


Record 16
{"formula": "Si4Se3", "functional": "PBE", "state": "relaxed", "n_ef_per_ev_cell": 3.48, "dft_energy_ev_per_cell": -31.210, "spacegroup": "No. 215", "density_g_cm3": 4.14, "formation_energy_uncorrected_mev_per_atom": 134, "e_above_lowest_polymorph_mev_per_atom": 0, "lattice": [[5.192, 0.000, 0.000], [0.000, 5.192, 0.000], [0.000, 0.000, 5.192]], "species": ["Si", "Si", "Si", "Si", "Se", "Se", "Se"], "frac_coords": [[0.175, 0.825, 0.175], [0.825, 0.175, 0.175], [0.825, 0.825, 0.825], [0.175, 0.175, 0.825], [0.500, 0.000, 0.500], [0.500, 0.500, 0.000], [0.000, 0.500, 0.500]]}


Record 17
{"formula": "RbRuSeBr2", "functional": "PBE", "state": "relaxed", "n_ef_per_ev_cell": 10.01, "dft_energy_ev_per_cell": -11.540, "spacegroup": "No. 123", "density_g_cm3": 3.03, "formation_energy_uncorrected_mev_per_atom": 1107, "e_above_lowest_polymorph_mev_per_atom": 1628, "lattice": [[6.190, 0.000, 0.000], [0.000, 6.190, 0.000], [0.000, 0.000, 6.089]], "species": ["Ru", "Se", "Br", "Br", "Rb"], "frac_coords": [[0.500, 0.500, 0.500], [0.000, 0.000, 0.500], [0.000, 0.500, 0.000], [0.500, 0.000, 0.000], [0.000, 0.000, 0.000]]}


Record 18
{"formula": "Ac2La2Y", "functional": "PBE", "state": "relaxed", "n_ef_per_ev_cell": 8.82, "dft_energy_ev_per_cell": -24.232, "spacegroup": "No. 65", "density_g_cm3": 6.99, "e_above_lowest_polymorph_mev_per_atom": 0, "lattice": [[3.757, 0.000, 0.000], [0.000, 5.745, 0.000], [0.000, -2.873, 9.030]], "species": ["Ac", "Ac", "La", "La", "Y"], "frac_coords": [[0.500, 0.605, 0.211], [0.500, 0.395, 0.789], [0.000, 0.198, 0.396], [0.000, 0.802, 0.604], [0.000, 0.000, 0.000]]}


Record 19
{"formula": "Eu2PtS", "functional": "PBE", "state": "relaxed", "n_ef_per_ev_cell": 17.89, "dft_energy_ev_per_cell": -36.436, "spacegroup": "No. 166", "density_g_cm3": 8.39, "formation_energy_uncorrected_mev_per_atom": -1430, "lattice": [[-3.848, 1.509, -0.422], [-2.295, 0.810, 3.367], [0.503, 7.320, 1.145]], "species": ["Eu", "Eu", "S", "Pt"], "frac_coords": [[0.249, 0.249, 0.254], [0.751, 0.751, 0.746], [0.500, 0.500, 0.500], [0.000, 0.000, 0.000]]}


Record 20
{"formula": "Pr3Sm2Er8", "functional": "PBE", "state": "relaxed", "n_ef_per_ev_cell": 19.60, "dft_energy_ev_per_cell": -58.160, "spacegroup": "No. 10", "density_g_cm3": 7.82, "e_above_lowest_polymorph_mev_per_atom": 140, "lattice": [[-2.319, 0.126, -4.604], [-1.514, -7.908, 0.545], [-8.111, 7.717, 4.297]], "species": ["Pr", "Pr", "Pr", "Sm", "Sm", "Er", "Er", "Er", "Er", "Er", "Er", "Er", "Er"], "frac_coords": [[0.500, 0.000, 0.000], [0.000, 0.348, 0.072], [0.000, 0.652, 0.928], [0.500, 0.094, 0.413], [0.500, 0.906, 0.587], [0.000, 0.771, 0.371], [0.000, 0.229, 0.629], [0.000, 0.066, 0.226], [0.000, 0.934, 0.774], [0.500, 0.571, 0.690], [0.500, 0.303, 0.852], [0.500, 0.697, 0.148], [0.500, 0.429, 0.310]]}